A | VASP calculation (PBE) on BeCdB2 after structural relaxation.

a = 7.133 Å, b = 7.133 Å, c = 7.133 Å
α = 150.39°, β = 150.39°, γ = 42.37°
Fractional positions:
Be 0.375 0.625 0.750
Be 0.625 0.375 0.250
Cd 0.125 0.875 0.250
Cd 0.875 0.125 0.750
B 0.000 0.500 0.500
B 0.500 0.000 0.000
B 0.500 0.500 0.000
B 0.500 0.500 0.500

Output
For the density of states at the Fermi level, the calculation gives 1.118 states/eV/f.u. For the total magnetization, the calculation gives 0.00 μB/cell. The space group is I4_1/amd. The calculation puts the mass density at 5.4 Mg/m³. The volume comes out at 88.38 Å³/cell.

***

B | VASP calculation (PBE) on BeCdB2 after structural relaxation.

a = 4.026 Å, b = 4.026 Å, c = 4.026 Å
α = 60.00°, β = 60.00°, γ = 60.00°
Fractional positions:
Be 0.000 0.000 0.000
Cd 0.500 0.500 0.500
B 0.250 0.250 0.250
B 0.750 0.750 0.750

Output
For the density of states at the Fermi level, the calculation gives 0.360 states/eV/f.u. For the total magnetization, the calculation gives 0.00 μB/cell. The space group is Fm-3m. The calculation puts the mass density at 5.1 Mg/m³. The volume comes out at 46.16 Å³/cell.

***

The structures above, arranged from the most stable to the least stable: A, B.